# KLi2FeO

KLi2FeO after structural relaxation (PBE with a Hubbard U, the Alexandria database).

Structure (POSCAR):
```
KLi2FeO
1.0
5.087 0.000 0.000
0.000 3.963 0.000
0.000 0.000 5.087
K Fe O Li
1 1 1 2
Cartesian
2.544 1.981 2.544
0.000 1.981 0.000
0.000 0.000 0.000
0.000 0.000 2.544
2.544 0.000 0.000
```

total magnetization = 3.66 Bohr magnetons per cell
polymorph energy (0 for the lowest one) = 0.0 meV/atom